DFT (PBE) results for a relaxed structure of Ac2Sm8Tm.

Properties
ΔE_f = 0.153 eV per atom
Fermi-level density of states = 17.0 states/eV/f.u.
Spin magnetization = 0.0 μB/cell
Space-group type = C2/m (12)
DFT total energy = -48.75 eV for the cell shown

Geometry as extended XYZ:
```
11
Lattice="-6.934 -0.223 1.034 -4.076 -4.969 8.163 -4.115 1.812 9.366" Properties=species:S:1:pos:R:3 pbc="T T T"
Sm -6.361 -0.296 10.768
Sm -9.896 -2.018 11.052
Sm -7.372 -2.425 13.429
Sm -6.343 -3.497 10.200
Sm -5.229 -1.363 7.512
Sm -8.764 -3.084 7.795
Sm -8.782 0.116 8.363
Sm -7.753 -0.956 5.135
Ac -10.649 -2.668 14.693
Ac -4.476 -0.713 3.871
Tm 0.000 0.000 0.000
```